[1]
{
  "formula": "LiPmSc",
  "functional": "PBE",
  "state": "optimized geometry",
  "cell": [[0.000, 3.477, 3.477], [3.477, 0.000, 3.477], [3.477, 3.477, 0.000]],
  "species": ["Li", "Pm", "Sc"],
  "fractional_positions": [[0.000, 0.000, 0.000], [0.750, 0.750, 0.750], [0.250, 0.250, 0.250]],
  "sg": "No. 216",
  "total_energy_ev_per_atom": -3.7953
}

[2]
{
  "formula": "NdPaNO",
  "functional": "PBE",
  "state": "optimized geometry",
  "cell": [[4.011, 0.000, 0.000], [0.000, 4.011, 0.000], [0.000, 0.000, 8.547]],
  "species": ["Nd", "Nd", "Pa", "Pa", "N", "N", "O", "O"],
  "fractional_positions": [[0.250, 0.750, 0.000], [0.750, 0.250, 0.000], [0.250, 0.250, 0.350], [0.750, 0.750, 0.650], [0.250, 0.250, 0.799], [0.750, 0.750, 0.201], [0.250, 0.750, 0.500], [0.750, 0.250, 0.500]],
  "sg": "No. 129",
  "total_energy_ev_per_atom": -7.6867
}

Number 2 is which compound? NdPaNO

Which formula does entry 1 have? LiPmSc